DFT (PBE-GGA) results for crystalline CdSiMoBr at its relaxed geometry.

CIF file:
```
data_CdSiMoBr
_chemical_formula_sum 'Cd1 Si1 Mo1 Br1'
_space_group_name_H-M_alt 'P 1'
_space_group_IT_number 1
_space_group_name_Hall 'P 1'
_cell_length_a 3.283
_cell_length_b 3.375
_cell_length_c 8.720
_cell_angle_alpha 85.44
_cell_angle_beta 79.32
_cell_angle_gamma 60.91
loop_
_atom_site_label
_atom_site_type_symbol
_atom_site_fract_x
_atom_site_fract_y
_atom_site_fract_z
Cd1 Cd 0.447 0.493 0.365
Si1 Si 0.639 0.868 0.610
Mo1 Mo 0.218 0.532 0.789
Br1 Br 0.443 0.864 0.008
```

N(E_F) ... 0.93 states/eV per atom
ΔE_f (raw) ... 0.14 eV/atom
Space-group type ... P1, No. 1
Spin magnetization ... 0.000 μB/cell
Calculated total energy ... -18.29 eV per cell


DFT (PBE-GGA) results for crystalline Nd6Ge2AuI3 at its relaxed geometry.

CIF file:
```
data_Nd6Ge2AuI3
_chemical_formula_sum 'Nd6 Ge2 Au1 I3'
_space_group_name_H-M_alt 'P 1'
_space_group_IT_number 1
_space_group_name_Hall 'P 1'
_cell_length_a 7.624
_cell_length_b 7.624
_cell_length_c 7.925
_cell_angle_alpha 99.28
_cell_angle_beta 99.28
_cell_angle_gamma 120.04
loop_
_atom_site_label
_atom_site_type_symbol
_atom_site_fract_x
_atom_site_fract_y
_atom_site_fract_z
Nd1 Nd 0.932 0.596 0.794
Nd2 Nd 0.732 0.732 0.208
Nd3 Nd 0.068 0.404 0.206
Nd4 Nd 0.596 0.932 0.794
Nd5 Nd 0.268 0.268 0.792
Nd6 Nd 0.404 0.068 0.206
Ge1 Ge 0.334 0.666 0.000
Ge2 Ge 0.666 0.334 0.000
Au1 Au 0.000 0.000 0.000
I1 I 0.170 0.830 0.500
I2 I 0.830 0.170 0.500
I3 I 0.500 0.500 0.500
```

N(E_F) ... 0.70 states/eV per atom
ΔE_f (raw) ... -0.94 eV/atom
Space-group type ... C2/m, No. 12
Spin magnetization ... 0.000 μB/cell
Calculated total energy ... -57.06 eV per cell


DFT (PBE-GGA) results for crystalline K2TiIn2 at its relaxed geometry.

CIF file:
```
data_K2TiIn2
_chemical_formula_sum 'K4 Ti2 In4'
_space_group_name_H-M_alt 'P 1'
_space_group_IT_number 1
_space_group_name_Hall 'P 1'
_cell_length_a 10.261
_cell_length_b 10.261
_cell_length_c 3.056
_cell_angle_alpha 90.00
_cell_angle_beta 90.00
_cell_angle_gamma 90.00
loop_
_atom_site_label
_atom_site_type_symbol
_atom_site_fract_x
_atom_site_fract_y
_atom_site_fract_z
K1 K 0.373 0.873 0.000
K2 K 0.873 0.627 0.000
K3 K 0.627 0.127 0.000
K4 K 0.127 0.373 0.000
Ti1 Ti 0.000 0.000 0.000
Ti2 Ti 0.500 0.500 0.000
In1 In 0.172 0.672 0.500
In2 In 0.672 0.828 0.500
In3 In 0.828 0.328 0.500
In4 In 0.328 0.172 0.500
```

N(E_F) ... 0.90 states/eV per atom
Formation energy ... 0.704 eV/atom
Space-group type ... P4/mbm, No. 127
Spin magnetization ... 0.001 μB/cell
Calculated total energy ... -24.09 eV per cell


DFT (PBE-GGA) results for crystalline In2Ge2S7 at its relaxed geometry.

CIF file:
```
data_In2Ge2S7
_chemical_formula_sum 'In2 Ge2 S7'
_space_group_name_H-M_alt 'P 1'
_space_group_IT_number 1
_space_group_name_Hall 'P 1'
_cell_length_a 6.210
_cell_length_b 6.958
_cell_length_c 6.958
_cell_angle_alpha 96.95
_cell_angle_beta 104.00
_cell_angle_gamma 104.00
loop_
_atom_site_label
_atom_site_type_symbol
_atom_site_fract_x
_atom_site_fract_y
_atom_site_fract_z
In1 In 0.500 0.304 0.696
In2 In 0.500 0.696 0.304
Ge1 Ge 0.102 0.793 0.793
Ge2 Ge 0.898 0.207 0.207
S1 S 0.282 0.582 0.939
S2 S 0.718 0.061 0.418
S3 S 0.718 0.418 0.061
S4 S 0.282 0.939 0.582
S5 S 0.219 0.429 0.429
S6 S 0.000 0.000 0.000
S7 S 0.781 0.571 0.571
```

N(E_F) ... 0.01 states/eV per atom
ΔE_f (raw) ... -0.22 eV/atom
Space-group type ... C2/m, No. 12
Spin magnetization ... 0.000 μB/cell
Calculated total energy ... -45.97 eV per cell


DFT (PBE-GGA) results for crystalline NdYTh2 at its relaxed geometry.

CIF file:
```
data_NdYTh2
_chemical_formula_sum 'Nd1 Y1 Th2'
_space_group_name_H-M_alt 'P 1'
_space_group_IT_number 1
_space_group_name_Hall 'P 1'
_cell_length_a 5.193
_cell_length_b 5.032
_cell_length_c 5.032
_cell_angle_alpha 90.00
_cell_angle_beta 90.00
_cell_angle_gamma 90.00
loop_
_atom_site_label
_atom_site_type_symbol
_atom_site_fract_x
_atom_site_fract_y
_atom_site_fract_z
Y1 Y 0.500 0.000 0.000
Nd1 Nd 0.500 0.500 0.500
Th1 Th 0.000 0.000 0.500
Th2 Th 0.000 0.500 0.000
```

N(E_F) ... 1.56 states/eV per atom
Formation energy ... 0.072 eV/atom
Space-group type ... P4/mmm, No. 123
Spin magnetization ... 0.000 μB/cell
Calculated total energy ... -25.78 eV per cell


DFT (PBE-GGA) results for crystalline Hf2MgCrSe at its relaxed geometry.

CIF file:
```
data_Hf2MgCrSe
_chemical_formula_sum 'Hf2 Mg1 Cr1 Se1'
_space_group_name_H-M_alt 'P 1'
_space_group_IT_number 1
_space_group_name_Hall 'P 1'
_cell_length_a 5.067
_cell_length_b 4.627
_cell_length_c 5.067
_cell_angle_alpha 90.00
_cell_angle_beta 90.00
_cell_angle_gamma 90.00
loop_
_atom_site_label
_atom_site_type_symbol
_atom_site_fract_x
_atom_site_fract_y
_atom_site_fract_z
Cr1 Cr 0.000 0.500 0.000
Mg1 Mg 0.000 0.000 0.000
Hf1 Hf 0.000 0.000 0.500
Hf2 Hf 0.500 0.000 0.000
Se1 Se 0.500 0.500 0.500
```

N(E_F) ... 1.09 states/eV per atom
ΔE_f (raw) ... 1.25 eV/atom
Space-group type ... P4/mmm, No. 123
Spin magnetization ... 3.780 μB/cell
Calculated total energy ... -28.36 eV per cell


DFT (PBE-GGA) results for crystalline Al6Ga2Pd at its relaxed geometry.

CIF file:
```
data_Al6Ga2Pd
_chemical_formula_sum 'Al6 Ga2 Pd1'
_space_group_name_H-M_alt 'P 1'
_space_group_IT_number 1
_space_group_name_Hall 'P 1'
_cell_length_a 4.317
_cell_length_b 6.050
_cell_length_c 7.297
_cell_angle_alpha 114.49
_cell_angle_beta 105.47
_cell_angle_gamma 90.00
loop_
_atom_site_label
_atom_site_type_symbol
_atom_site_fract_x
_atom_site_fract_y
_atom_site_fract_z
Al1 Al 0.152 0.409 0.322
Al2 Al 0.848 0.087 0.678
Al3 Al 0.848 0.591 0.678
Al4 Al 0.500 0.235 0.000
Al5 Al 0.152 0.913 0.322
Al6 Al 0.500 0.765 0.000
Ga1 Ga 0.658 0.667 0.334
Ga2 Ga 0.342 0.333 0.666
Pd1 Pd 0.000 0.000 0.000
```

N(E_F) ... 0.34 states/eV per atom
Formation energy ... -0.195 eV/atom
Space-group type ... C2/m, No. 12
Spin magnetization ... 0.000 μB/cell
Calculated total energy ... -35.46 eV per cell


DFT (PBE-GGA) results for crystalline AcBi4Pd15 at its relaxed geometry.

CIF file:
```
data_AcBi4Pd15
_chemical_formula_sum 'Ac1 Bi4 Pd15'
_space_group_name_H-M_alt 'P 1'
_space_group_IT_number 1
_space_group_name_Hall 'P 1'
_cell_length_a 4.201
_cell_length_b 4.201
_cell_length_c 20.613
_cell_angle_alpha 90.00
_cell_angle_beta 90.00
_cell_angle_gamma 90.00
loop_
_atom_site_label
_atom_site_type_symbol
_atom_site_fract_x
_atom_site_fract_y
_atom_site_fract_z
Ac1 Ac 0.000 0.000 0.000
Bi1 Bi 0.000 0.000 0.204
Bi2 Bi 0.000 0.000 0.402
Bi3 Bi 0.000 0.000 0.598
Bi4 Bi 0.000 0.000 0.796
Pd1 Pd 0.500 0.500 0.000
Pd2 Pd 0.500 0.500 0.208
Pd3 Pd 0.500 0.500 0.402
Pd4 Pd 0.500 0.500 0.598
Pd5 Pd 0.500 0.500 0.792
Pd6 Pd 0.500 0.000 0.108
Pd7 Pd 0.500 0.000 0.304
Pd8 Pd 0.500 0.000 0.500
Pd9 Pd 0.500 0.000 0.696
Pd10 Pd 0.500 0.000 0.892
Pd11 Pd 0.000 0.500 0.108
Pd12 Pd 0.000 0.500 0.304
Pd13 Pd 0.000 0.500 0.500
Pd14 Pd 0.000 0.500 0.696
Pd15 Pd 0.000 0.500 0.892
```

N(E_F) ... 0.51 states/eV per atom
Formation energy ... -0.322 eV/atom
Space-group type ... P4/mmm, No. 123
Spin magnetization ... 0.000 μB/cell
Calculated total energy ... -103.97 eV per cell


DFT (PBE-GGA) results for crystalline LaHfPd2 at its relaxed geometry.

CIF file:
```
data_LaHfPd2
_chemical_formula_sum 'La2 Hf2 Pd4'
_space_group_name_H-M_alt 'P 1'
_space_group_IT_number 1
_space_group_name_Hall 'P 1'
_cell_length_a 7.629
_cell_length_b 7.629
_cell_length_c 6.263
_cell_angle_alpha 52.48
_cell_angle_beta 52.48
_cell_angle_gamma 90.00
loop_
_atom_site_label
_atom_site_type_symbol
_atom_site_fract_x
_atom_site_fract_y
_atom_site_fract_z
Hf1 Hf 0.000 0.000 0.000
Hf2 Hf 0.750 0.250 0.500
Pd1 Pd 0.660 0.125 0.250
Pd2 Pd 0.090 0.625 0.250
Pd3 Pd 0.375 0.340 0.750
Pd4 Pd 0.875 0.910 0.750
La1 La 0.500 0.500 0.000
La2 La 0.250 0.750 0.500
```

N(E_F) ... 1.36 states/eV per atom
Formation energy ... -0.307 eV/atom
Space-group type ... I-42d, No. 122
Spin magnetization ... 0.000 μB/cell
Calculated total energy ... -52.99 eV per cell


DFT (PBE-GGA) results for crystalline ZrTa2Ni at its relaxed geometry.

CIF file:
```
data_ZrTa2Ni
_chemical_formula_sum 'Zr1 Ta2 Ni1'
_space_group_name_H-M_alt 'P 1'
_space_group_IT_number 1
_space_group_name_Hall 'P 1'
_cell_length_a 5.532
_cell_length_b 5.532
_cell_length_c 5.532
_cell_angle_alpha 146.09
_cell_angle_beta 131.04
_cell_angle_gamma 60.89
loop_
_atom_site_label
_atom_site_type_symbol
_atom_site_fract_x
_atom_site_fract_y
_atom_site_fract_z
Ni1 Ni 0.250 0.750 0.500
Ta1 Ta 0.017 0.017 0.000
Ta2 Ta 0.483 0.483 0.000
Zr1 Zr 0.750 0.250 0.500
```

N(E_F) ... 1.32 states/eV per atom
Formation energy ... -0.018 eV/atom
Space-group type ... Immm, No. 71
Spin magnetization ... 0.001 μB/cell
Calculated total energy ... -38.11 eV per cell


DFT (PBE-GGA) results for crystalline ZrCr at its relaxed geometry.

CIF file:
```
data_ZrCr
_chemical_formula_sum 'Zr2 Cr2'
_space_group_name_H-M_alt 'P 1'
_space_group_IT_number 1
_space_group_name_Hall 'P 1'
_cell_length_a 3.803
_cell_length_b 3.803
_cell_length_c 6.255
_cell_angle_alpha 90.00
_cell_angle_beta 90.00
_cell_angle_gamma 120.00
loop_
_atom_site_label
_atom_site_type_symbol
_atom_site_fract_x
_atom_site_fract_y
_atom_site_fract_z
Cr1 Cr 0.000 0.000 0.000
Cr2 Cr 0.000 0.000 0.500
Zr1 Zr 0.333 0.667 0.250
Zr2 Zr 0.667 0.333 0.750
```

N(E_F) ... 1.21 states/eV per atom
Formation energy ... 0.739 eV/atom
Space-group type ... P6_3/mmc, No. 194
Spin magnetization ... 4.424 μB/cell
Calculated total energy ... -33.39 eV per cell


DFT (PBE-GGA) results for crystalline Pr2Th2Sb2C at its relaxed geometry.

CIF file:
```
data_Pr2Th2Sb2C
_chemical_formula_sum 'Pr2 Th2 Sb2 C1'
_space_group_name_H-M_alt 'P 1'
_space_group_IT_number 1
_space_group_name_Hall 'P 1'
_cell_length_a 4.904
_cell_length_b 4.904
_cell_length_c 9.175
_cell_angle_alpha 105.50
_cell_angle_beta 105.50
_cell_angle_gamma 90.00
loop_
_atom_site_label
_atom_site_type_symbol
_atom_site_fract_x
_atom_site_fract_y
_atom_site_fract_z
Pr1 Pr 0.166 0.166 0.333
Pr2 Pr 0.834 0.834 0.667
Th1 Th 0.000 0.500 0.000
Th2 Th 0.500 0.000 0.000
Sb1 Sb 0.360 0.360 0.720
Sb2 Sb 0.640 0.640 0.280
C1 C 0.000 0.000 0.000
```

N(E_F) ... 1.19 states/eV per atom
ΔE_f (raw) ... -0.69 eV/atom
Space-group type ... I4/mmm, No. 139
Spin magnetization ... 0.000 μB/cell
Calculated total energy ... -46.66 eV per cell